# Ho2Ga3Ni12Ir

Crystalline Ho2Ga3Ni12Ir at its relaxed geometry (PBE, Alexandria).

N(E_F), states/eV/f.u.: 18.18
E_form, eV/f.u.: -1.081

a b c (Å): 11.7597 11.7597 11.7597
angles (deg): 25.27 25.27 25.27
With the nearest neighbours (Å) after each atom.
Element x y z (fractional)
Ho 0.1428 0.1428 0.1428  9 Ni 2.82-3.15, 3 Ir 3.08
Ho 0.8572 0.8572 0.8572  9 Ni 2.82-3.15, 3 Ir 3.08
Ga 0.0000 0.5000 0.5000  4 Ni 2.40, 4 Ga 2.57
Ga 0.5000 0.0000 0.5000  4 Ni 2.40, 4 Ga 2.57
Ga 0.5000 0.5000 0.0000  4 Ni 2.40, 4 Ga 2.57
Ni 0.1034 0.1034 0.6305  2 Ga 2.40, 4 Ni 2.41-2.43
Ni 0.1034 0.6305 0.1034  2 Ga 2.40, 4 Ni 2.41-2.43
Ni 0.1075 0.6098 0.6098  6 Ni 2.41-2.58, 1 Ir 2.47
Ni 0.3695 0.8966 0.8966  2 Ga 2.40, 4 Ni 2.41-2.43
Ni 0.3902 0.3902 0.8925  6 Ni 2.41-2.58, 1 Ir 2.47
Ni 0.3902 0.8925 0.3902  6 Ni 2.41-2.58, 1 Ir 2.47
Ni 0.6098 0.1075 0.6098  6 Ni 2.41-2.58, 1 Ir 2.47
Ni 0.6098 0.6098 0.1075  6 Ni 2.41-2.58, 1 Ir 2.47
Ni 0.6304 0.1034 0.1034  2 Ga 2.40, 4 Ni 2.41-2.43
Ni 0.8925 0.3902 0.3902  6 Ni 2.41-2.58, 1 Ir 2.47
Ni 0.8966 0.3696 0.8966  2 Ga 2.40, 4 Ni 2.41-2.43
Ni 0.8966 0.8966 0.3695  2 Ga 2.40, 4 Ni 2.41-2.43
Ir 0.5000 0.5000 0.5000  6 Ni 2.47